Record 1
! BaGdTlIn PBE relaxed; values from VASP
! Formation energy ... -307.1 meV per atom
! Magnetic moment ... 7.4 Bohr magnetons per cell
! DFT total energy ... -5.584 eV per atom
&SYSTEM
  ibrav = 0, nat = 4, ntyp = 4
/
ATOMIC_SPECIES
Tl 204.38 Tl.upf
Gd 157.25 Gd.upf
Ba 137.33 Ba.upf
In 114.82 In.upf
CELL_PARAMETERS angstrom
5.734 0.000 0.000
2.867 4.966 0.000
2.867 1.655 4.682
ATOMIC_POSITIONS crystal
Tl 0.500 0.500 0.500
Gd 0.250 0.250 0.250
Ba 0.750 0.750 0.750
In 0.000 0.000 0.000

Record 2
! BaGdZnIn PBE relaxed; values from VASP
! Formation energy ... -218.6 meV per atom
! Magnetic moment ... 7.4 Bohr magnetons per cell
! DFT total energy ... -5.223 eV per atom
&SYSTEM
  ibrav = 0, nat = 4, ntyp = 4
/
ATOMIC_SPECIES
Zn 65.41 Zn.upf
Gd 157.25 Gd.upf
Ba 137.33 Ba.upf
In 114.82 In.upf
CELL_PARAMETERS angstrom
-1.590 -4.129 -3.442
3.832 -2.776 -3.005
1.227 -5.324 1.255
ATOMIC_POSITIONS crystal
Zn 0.250 0.250 0.250
Gd 0.500 0.500 0.500
Ba 0.000 0.000 0.000
In 0.750 0.750 0.750

Which of these has the highest formation energy?
BaGdZnIn

Which value of formation energy does entry 2 give?
-218.6 meV per atom

magnetic moment of number 1 (BaGdTlIn)?
7.4 Bohr magnetons per cell